First-principles (GGA-PBE) data for a geometry-optimized La3Pr4Ho5 structure, as listed in Alexandria.

Properties
Symmetry: No. 12
Fermi-level density of states: 19.2 states/eV per cell
E above lowest polymorph: 198 meV/atom
Magnetization: 0.0 μB per cell
Mass density: 7.135 Mg/m³

abc: 6.0694 8.6852 9.8329
angles: 105.24 72.02 69.55
Last column: nearest neighbours and their distance in Å.
Element x y z (fractional)
1 La 0.0000 0.5000 0.5000  2 Ho 3.03
2 La 0.4768 0.3121 0.7343  3 Ho 3.15-3.32, 2 Pr 3.32-3.46
3 Pr 0.1385 0.7763 0.9466  2 Pr 3.35-3.70, 1 La 3.46, 3 Ho 3.50-3.56
4 Ho 0.5000 0.5000 0.5000  4 La 3.03-3.15
5 Pr 0.8615 0.2237 0.0534  2 Pr 3.35-3.70, 1 La 3.46, 3 Ho 3.50-3.56
6 Ho 0.6266 0.9434 0.8033  2 La 3.32-3.54, 2 Ho 3.40-3.64, 2 Pr 3.71
7 Pr 0.1749 0.0320 0.6182  3 La 3.32-3.68, 3 Pr 3.66-3.70, 2 Ho 3.71
8 Ho 0.3734 0.0566 0.1967  2 La 3.32-3.54, 2 Ho 3.40-3.64, 2 Pr 3.71
9 Pr 0.8251 0.9680 0.3818  3 La 3.32-3.68, 3 Pr 3.66-3.70, 2 Ho 3.71
10 La 0.5232 0.6879 0.2657  3 Ho 3.15-3.32, 2 Pr 3.32-3.46
11 Ho 0.7856 0.5435 0.8853  4 La 3.25-3.54, 3 Pr 3.50-3.56
12 Ho 0.2144 0.4565 0.1147  4 La 3.25-3.54, 3 Pr 3.50-3.56